RbGa2Au2: relaxed, PBE.

POSCAR file:
```
RbGa2Au2
1.0
6.222 -0.704 1.887
2.030 2.885 5.507
-4.951 -3.786 -1.980
Au Ga Rb
2 2 1
direct
0.631 0.631 0.000
0.369 0.369 0.000
0.250 0.750 0.500
0.750 0.250 0.500
0.000 0.000 0.000
```

Output
For the polymorph energy (0 for the lowest one), the calculation gives 10 meV/atom. As for the space-group type: I4/mmm (139).